DFT (PBE with a Hubbard U) results for crystalline FeNiO2 at its relaxed geometry.

Values from the calculation:
**Relative energy among the computed polymorphs**: 233 meV per atom
**E_tot**: -0.40405 Ry per atom
**Space group**: P1

Unit cell a=2.9719 b=6.2192 c=5.3149 alpha=86.06 beta=85.50 gamma=112.61
Closest atoms and distances in Å follow each position.
Sites, in units of the cell vectors:
O 0.5729 0.2221 0.7896  3 Fe 2.02-2.12, 1 Ni 2.03
Ni 0.3643 0.9401 0.0541  5 O 2.03-2.14
O 0.7465 0.7500 0.8773  3 Ni 1.95-2.14, 1 Fe 2.01
Fe 0.0814 0.4850 0.9418  4 O 2.01-2.25
O 0.8617 0.9810 0.3102  1 Fe 2.01, 3 Ni 2.01-2.04
O 0.8020 0.4422 0.3149  1 Ni 1.96, 3 Fe 2.04-2.05
Ni 0.8250 0.6932 0.5232  3 O 1.95-2.01
Fe 0.1287 0.2564 0.5100  5 O 2.01-2.12